Record 1
The following is a DFT calculation (GGA-PBE) of a relaxed structure of Ce8CdGa2.

Properties
The value obtained for the density is 7.81 g cm⁻³. The value obtained for the relative energy among the computed polymorphs is 0.000 eV/atom. Its space group is Immm.

```
data_Ce8CdGa2
_symmetry_space_group_name_H-M 'P 1'
_symmetry_Int_Tables_number 1
_cell_length_a 8.490
_cell_length_b 8.490
_cell_length_c 8.490
_cell_angle_alpha 145.72
_cell_angle_beta 120.62
_cell_angle_gamma 70.39
loop_
_symmetry_equiv_pos_as_xyz
'x,y,z'
loop_
_atom_site_label
_atom_site_fract_x
_atom_site_fract_y
_atom_site_fract_z
Ce1 0.126 0.334 0.792
Ce2 0.175 0.175 0.000
Ce3 0.338 0.000 0.338
Ce4 0.459 0.666 0.792
Ce5 0.541 0.334 0.208
Ce6 0.662 0.000 0.662
Ce7 0.825 0.825 0.000
Ce8 0.874 0.666 0.208
Cd1 0.000 0.500 0.500
Ga1 0.302 0.802 0.500
Ga2 0.698 0.198 0.500
```

***

Record 2
The following is a DFT calculation (GGA-PBE) of a relaxed structure of CeCd2Ga.

Properties
The value obtained for the density is 7.66 g cm⁻³. The value obtained for the relative energy among the computed polymorphs is 0.120 eV/atom. Its space group is Fm-3m.

```
data_CeCd2Ga
_symmetry_space_group_name_H-M 'P 1'
_symmetry_Int_Tables_number 1
_cell_length_a 5.107
_cell_length_b 5.107
_cell_length_c 5.107
_cell_angle_alpha 60.00
_cell_angle_beta 60.00
_cell_angle_gamma 60.00
loop_
_symmetry_equiv_pos_as_xyz
'x,y,z'
loop_
_atom_site_label
_atom_site_fract_x
_atom_site_fract_y
_atom_site_fract_z
Ce1 0.000 0.000 0.000
Cd1 0.250 0.250 0.250
Cd2 0.750 0.750 0.750
Ga1 0.500 0.500 0.500
```

***

Record 3
The following is a DFT calculation (GGA-PBE) of a relaxed structure of Ce6CdGa5.

Properties
The value obtained for the density is 7.80 g cm⁻³. Its space group is P2/m. Its total energy is -56.8 eV per formula unit.

```
data_Ce6CdGa5
_symmetry_space_group_name_H-M 'P 1'
_symmetry_Int_Tables_number 1
_cell_length_a 5.463
_cell_length_b 6.482
_cell_length_c 7.832
_cell_angle_alpha 90.00
_cell_angle_beta 92.19
_cell_angle_gamma 90.00
loop_
_symmetry_equiv_pos_as_xyz
'x,y,z'
loop_
_atom_site_label
_atom_site_fract_x
_atom_site_fract_y
_atom_site_fract_z
Ce1 0.000 0.229 0.000
Ce2 0.000 0.771 0.000
Ce3 0.315 0.248 0.658
Ce4 0.315 0.752 0.658
Ce5 0.685 0.248 0.342
Ce6 0.685 0.752 0.342
Cd1 0.500 0.500 0.000
Ga1 0.183 0.500 0.320
Ga2 0.185 0.000 0.327
Ga3 0.500 0.000 0.000
Ga4 0.815 0.000 0.673
Ga5 0.817 0.500 0.680
```

***

Record 4
The following is a DFT calculation (GGA-PBE) of a relaxed structure of Ce2CdGa.

Properties
The value obtained for the density is 7.80 g cm⁻³. Its space group is R-3m. Its total energy is -15.8 eV per formula unit.

```
data_Ce2CdGa
_symmetry_space_group_name_H-M 'P 1'
_symmetry_Int_Tables_number 1
_cell_length_a 11.969
_cell_length_b 11.969
_cell_length_c 11.969
_cell_angle_alpha 14.88
_cell_angle_beta 14.88
_cell_angle_gamma 14.88
loop_
_symmetry_equiv_pos_as_xyz
'x,y,z'
loop_
_atom_site_label
_atom_site_fract_x
_atom_site_fract_y
_atom_site_fract_z
Ce1 0.094 0.094 0.094
Ce2 0.906 0.906 0.906
Cd1 0.000 0.000 0.000
Ga1 0.500 0.500 0.500
```

***

Record 5
The following is a DFT calculation (GGA-PBE) of a relaxed structure of CeCdGaHg.

Properties
The value obtained for the density is 9.29 g cm⁻³. Its space group is F-43m. Its total energy is -11.5 eV per formula unit.

```
data_CeCdGaHg
_symmetry_space_group_name_H-M 'P 1'
_symmetry_Int_Tables_number 1
_cell_length_a 5.094
_cell_length_b 5.094
_cell_length_c 5.094
_cell_angle_alpha 60.00
_cell_angle_beta 60.00
_cell_angle_gamma 60.00
loop_
_symmetry_equiv_pos_as_xyz
'x,y,z'
loop_
_atom_site_label
_atom_site_fract_x
_atom_site_fract_y
_atom_site_fract_z
Ce1 0.000 0.000 0.000
Cd1 0.500 0.500 0.500
Ga1 0.750 0.750 0.750
Hg1 0.250 0.250 0.250
```

***

Record 6
The following is a DFT calculation (GGA-PBE) of a relaxed structure of CeHoCdGa.

Properties
The value obtained for the density is 8.03 g cm⁻³. Its space group is F-43m. Its total energy is -15.9 eV per formula unit.

```
data_CeHoCdGa
_symmetry_space_group_name_H-M 'P 1'
_symmetry_Int_Tables_number 1
_cell_length_a 5.223
_cell_length_b 5.223
_cell_length_c 5.223
_cell_angle_alpha 60.00
_cell_angle_beta 60.00
_cell_angle_gamma 60.00
loop_
_symmetry_equiv_pos_as_xyz
'x,y,z'
loop_
_atom_site_label
_atom_site_fract_x
_atom_site_fract_y
_atom_site_fract_z
Ce1 0.000 0.000 0.000
Ho1 0.500 0.500 0.500
Cd1 0.750 0.750 0.750
Ga1 0.250 0.250 0.250
```

***

Record 7
The following is a DFT calculation (GGA-PBE) of a relaxed structure of Ce2CdGaIr.

Properties
The value obtained for the density is 9.04 g cm⁻³. Its space group is P2_1/m. Its total energy is -27.1 eV per formula unit.

```
data_Ce2CdGaIr
_symmetry_space_group_name_H-M 'P 1'
_symmetry_Int_Tables_number 1
_cell_length_a 7.357
_cell_length_b 4.472
_cell_length_c 7.678
_cell_angle_alpha 90.00
_cell_angle_beta 107.88
_cell_angle_gamma 90.00
loop_
_symmetry_equiv_pos_as_xyz
'x,y,z'
loop_
_atom_site_label
_atom_site_fract_x
_atom_site_fract_y
_atom_site_fract_z
Ce1 0.134 0.250 0.338
Ce2 0.288 0.250 0.960
Ce3 0.712 0.750 0.040
Ce4 0.866 0.750 0.662
Cd1 0.324 0.750 0.654
Cd2 0.676 0.250 0.346
Ga1 0.451 0.750 0.322
Ga2 0.549 0.250 0.678
Ir1 0.121 0.750 0.090
Ir2 0.879 0.250 0.910
```

***

Record 8
The following is a DFT calculation (GGA-PBE) of a relaxed structure of LiCeCdGa.

Properties
The value obtained for the density is 6.11 g cm⁻³. Its space group is F-43m. Its total energy is -12.9 eV per formula unit.

```
data_LiCeCdGa
_symmetry_space_group_name_H-M 'P 1'
_symmetry_Int_Tables_number 1
_cell_length_a 5.022
_cell_length_b 5.022
_cell_length_c 5.022
_cell_angle_alpha 60.00
_cell_angle_beta 60.00
_cell_angle_gamma 60.00
loop_
_symmetry_equiv_pos_as_xyz
'x,y,z'
loop_
_atom_site_label
_atom_site_fract_x
_atom_site_fract_y
_atom_site_fract_z
Li1 0.000 0.000 0.000
Ce1 0.500 0.500 0.500
Cd1 0.250 0.250 0.250
Ga1 0.750 0.750 0.750
```

***

Record 9
The following is a DFT calculation (GGA-PBE) of a relaxed structure of CeLuCdGa.

Properties
The value obtained for the density is 8.38 g cm⁻³. Its space group is F-43m. Its total energy is -15.8 eV per formula unit.

```
data_CeLuCdGa
_symmetry_space_group_name_H-M 'P 1'
_symmetry_Int_Tables_number 1
_cell_length_a 5.184
_cell_length_b 5.184
_cell_length_c 5.184
_cell_angle_alpha 60.00
_cell_angle_beta 60.00
_cell_angle_gamma 60.00
loop_
_symmetry_equiv_pos_as_xyz
'x,y,z'
loop_
_atom_site_label
_atom_site_fract_x
_atom_site_fract_y
_atom_site_fract_z
Ce1 0.000 0.000 0.000
Lu1 0.500 0.500 0.500
Cd1 0.750 0.750 0.750
Ga1 0.250 0.250 0.250
```

***

Record 10
The following is a DFT calculation (GGA-PBE) of a relaxed structure of NaCeCdGa.

Properties
The value obtained for the density is 5.82 g cm⁻³. Its space group is F-43m. Its total energy is -11.8 eV per formula unit.

```
data_NaCeCdGa
_symmetry_space_group_name_H-M 'P 1'
_symmetry_Int_Tables_number 1
_cell_length_a 5.185
_cell_length_b 5.185
_cell_length_c 5.185
_cell_angle_alpha 60.00
_cell_angle_beta 60.00
_cell_angle_gamma 60.00
loop_
_symmetry_equiv_pos_as_xyz
'x,y,z'
loop_
_atom_site_label
_atom_site_fract_x
_atom_site_fract_y
_atom_site_fract_z
Na1 0.000 0.000 0.000
Ce1 0.500 0.500 0.500
Cd1 0.250 0.250 0.250
Ga1 0.750 0.750 0.750
```

***

Record 11
The following is a DFT calculation (GGA-PBE) of a relaxed structure of CeNdCdGa.

Properties
The value obtained for the density is 7.27 g cm⁻³. Its space group is F-43m. Its total energy is -16.0 eV per formula unit.

```
data_CeNdCdGa
_symmetry_space_group_name_H-M 'P 1'
_symmetry_Int_Tables_number 1
_cell_length_a 5.322
_cell_length_b 5.322
_cell_length_c 5.322
_cell_angle_alpha 60.00
_cell_angle_beta 60.00
_cell_angle_gamma 60.00
loop_
_symmetry_equiv_pos_as_xyz
'x,y,z'
loop_
_atom_site_label
_atom_site_fract_x
_atom_site_fract_y
_atom_site_fract_z
Ce1 0.000 0.000 0.000
Nd1 0.500 0.500 0.500
Cd1 0.250 0.250 0.250
Ga1 0.750 0.750 0.750
```

***

Record 12
The following is a DFT calculation (GGA-PBE) of a relaxed structure of CeCdGaNi.

Properties
The value obtained for the density is 8.16 g cm⁻³. Its space group is F-43m. Its total energy is -16.7 eV per formula unit.

```
data_CeCdGaNi
_symmetry_space_group_name_H-M 'P 1'
_symmetry_Int_Tables_number 1
_cell_length_a 4.786
_cell_length_b 4.786
_cell_length_c 4.786
_cell_angle_alpha 60.00
_cell_angle_beta 60.00
_cell_angle_gamma 60.00
loop_
_symmetry_equiv_pos_as_xyz
'x,y,z'
loop_
_atom_site_label
_atom_site_fract_x
_atom_site_fract_y
_atom_site_fract_z
Ce1 0.000 0.000 0.000
Cd1 0.500 0.500 0.500
Ga1 0.250 0.250 0.250
Ni1 0.750 0.750 0.750
```

***

Record 13
The following is a DFT calculation (GGA-PBE) of a relaxed structure of CeCdGaPb.

Properties
The value obtained for the density is 8.71 g cm⁻³. Its space group is F-43m. Its total energy is -14.4 eV per formula unit.

```
data_CeCdGaPb
_symmetry_space_group_name_H-M 'P 1'
_symmetry_Int_Tables_number 1
_cell_length_a 5.226
_cell_length_b 5.226
_cell_length_c 5.226
_cell_angle_alpha 60.00
_cell_angle_beta 60.00
_cell_angle_gamma 60.00
loop_
_symmetry_equiv_pos_as_xyz
'x,y,z'
loop_
_atom_site_label
_atom_site_fract_x
_atom_site_fract_y
_atom_site_fract_z
Ce1 0.000 0.000 0.000
Cd1 0.500 0.500 0.500
Ga1 0.750 0.750 0.750
Pb1 0.250 0.250 0.250
```